<A>
{
  "formula": "TlV2W",
  "functional": "PBE-GGA",
  "state": "optimized geometry",
  "total_magnetization_mub_per_fu": 1.35,
  "vol_a3_per_cell": 65,
  "spacegroup": "Fm-3m, No. 225",
  "lattice": [[0.000, 3.190, 3.190], [3.190, 0.000, 3.190], [3.190, 3.190, 0.000]],
  "species": ["W", "V", "V", "Tl"],
  "frac_coords": [[0.000, 0.000, 0.000], [0.750, 0.750, 0.750], [0.250, 0.250, 0.250], [0.500, 0.500, 0.500]]
}

***

<B>
{
  "formula": "TlV2W",
  "functional": "PBE-GGA",
  "state": "optimized geometry",
  "total_magnetization_mub_per_fu": 0.00,
  "vol_a3_per_cell": 145,
  "spacegroup": "I-42d, No. 122",
  "lattice": [[-2.184, -2.931, -6.244], [5.082, -5.112, 0.622], [-0.335, -5.627, -1.433]],
  "species": ["W", "W", "Tl", "Tl", "V", "V", "V", "V"],
  "frac_coords": [[0.500, 0.500, 0.000], [0.250, 0.750, 0.500], [0.000, 0.000, 0.000], [0.750, 0.250, 0.500], [0.586, 0.125, 0.250], [0.375, 0.414, 0.750], [0.875, 0.836, 0.750], [0.164, 0.625, 0.250]]
}

***

Order of stability, best first: <A>, <B>

***

<A>
{
  "formula": "TlV3W",
  "functional": "PBE-GGA",
  "state": "optimized geometry",
  "total_magnetization_mub_per_fu": 5.45,
  "vol_a3_per_cell": 117,
  "spacegroup": "Pm-3m, No. 221",
  "lattice": [[-2.928, 3.720, -1.224], [-1.691, -2.580, -3.795], [-3.533, -1.849, 2.831]],
  "species": ["V", "V", "V", "W", "Tl"],
  "frac_coords": [[0.000, 0.000, 0.500], [0.000, 0.500, 0.000], [0.500, 0.000, 0.000], [0.500, 0.500, 0.500], [0.000, 0.000, 0.000]]
}

***

<B>
{
  "formula": "TlV3W",
  "functional": "PBE-GGA",
  "state": "optimized geometry",
  "total_magnetization_mub_per_fu": 0.00,
  "vol_a3_per_cell": 100,
  "spacegroup": "Pm-3m, No. 221",
  "lattice": [[-4.459, 0.744, -1.049], [0.056, -3.671, -2.839], [-1.284, -2.740, 3.519]],
  "species": ["Tl", "V", "V", "V", "W"],
  "frac_coords": [[0.500, 0.500, 0.500], [0.000, 0.500, 0.000], [0.500, 0.000, 0.000], [0.000, 0.000, 0.500], [0.000, 0.000, 0.000]]
}

***

Order of stability, best first: <B>, <A>

***

<A>
{
  "formula": "Y2TlV",
  "functional": "PBE-GGA",
  "state": "optimized geometry",
  "total_magnetization_mub_per_fu": 2.56,
  "vol_a3_per_cell": 213,
  "spacegroup": "I-42d, No. 122",
  "lattice": [[8.209, 0.000, 0.000], [0.000, 8.209, 0.000], [4.104, 4.104, 3.156]],
  "species": ["Y", "Y", "Y", "Y", "V", "V", "Tl", "Tl"],
  "frac_coords": [[0.875, 0.855, 0.750], [0.605, 0.125, 0.250], [0.145, 0.625, 0.250], [0.375, 0.395, 0.750], [0.250, 0.750, 0.500], [0.500, 0.500, 0.000], [0.000, 0.000, 0.000], [0.750, 0.250, 0.500]]
}

***

<B>
{
  "formula": "Y2TlV",
  "functional": "PBE-GGA",
  "state": "optimized geometry",
  "total_magnetization_mub_per_fu": 3.52,
  "vol_a3_per_cell": 102,
  "spacegroup": "Fm-3m, No. 225",
  "lattice": [[1.148, -1.033, 5.006], [-3.723, -1.777, 3.228], [0.143, -4.958, 1.685]],
  "species": ["V", "Tl", "Y", "Y"],
  "frac_coords": [[0.000, 0.000, 0.000], [0.500, 0.500, 0.500], [0.750, 0.750, 0.750], [0.250, 0.250, 0.250]]
}

***

Order of stability, best first: <B>, <A>

***

<A>
{
  "formula": "TlVZn2",
  "functional": "PBE-GGA",
  "state": "optimized geometry",
  "total_magnetization_mub_per_fu": 2.09,
  "vol_a3_per_cell": 155,
  "spacegroup": "I-42d, No. 122",
  "lattice": [[-6.030, 4.372, 0.116], [-0.906, -1.056, -7.318], [-5.071, -0.566, -3.082]],
  "species": ["Zn", "Zn", "Zn", "Zn", "Tl", "Tl", "V", "V"],
  "frac_coords": [[0.875, 0.857, 0.750], [0.143, 0.625, 0.250], [0.607, 0.125, 0.250], [0.375, 0.393, 0.750], [0.000, 0.000, 0.000], [0.750, 0.250, 0.500], [0.500, 0.500, 0.000], [0.250, 0.750, 0.500]]
}

***

<B>
{
  "formula": "TlVZn2",
  "functional": "PBE-GGA",
  "state": "optimized geometry",
  "total_magnetization_mub_per_fu": 2.78,
  "vol_a3_per_cell": 72,
  "spacegroup": "Fm-3m, No. 225",
  "lattice": [[0.000, 3.295, 3.295], [3.295, 0.000, 3.295], [3.295, 3.295, 0.000]],
  "species": ["Zn", "Zn", "V", "Tl"],
  "frac_coords": [[0.250, 0.250, 0.250], [0.750, 0.750, 0.750], [0.000, 0.000, 0.000], [0.500, 0.500, 0.500]]
}

***

Order of stability, best first: <B>, <A>

***

<A>
{
  "formula": "Tl3VZn",
  "functional": "PBE-GGA",
  "state": "optimized geometry",
  "total_magnetization_mub_per_fu": 3.49,
  "vol_a3_per_cell": 161,
  "spacegroup": "Pm-3m, No. 221",
  "lattice": [[-1.524, -2.060, -4.801], [4.852, 1.294, -2.096], [1.935, -4.868, 1.474]],
  "species": ["Tl", "Tl", "Tl", "V", "Zn"],
  "frac_coords": [[0.000, 0.500, 0.000], [0.500, 0.000, 0.000], [0.000, 0.000, 0.500], [0.000, 0.000, 0.000], [0.500, 0.500, 0.500]]
}

***

<B>
{
  "formula": "Tl3VZn",
  "functional": "PBE-GGA",
  "state": "optimized geometry",
  "total_magnetization_mub_per_fu": 3.97,
  "vol_a3_per_cell": 148,
  "spacegroup": "Pm-3m, No. 221",
  "lattice": [[-1.764, 4.310, -2.500], [-0.275, -2.732, -4.517], [-4.975, -1.377, 1.136]],
  "species": ["Tl", "Tl", "Tl", "Zn", "V"],
  "frac_coords": [[0.000, 0.500, 0.000], [0.500, 0.000, 0.000], [0.000, 0.000, 0.500], [0.000, 0.000, 0.000], [0.500, 0.500, 0.500]]
}

***

Order of stability, best first: <A>, <B>

***

<A>
{
  "formula": "TlV2Zn2",
  "functional": "PBE-GGA",
  "state": "optimized geometry",
  "total_magnetization_mub_per_fu": 0.00,
  "vol_a3_per_cell": 90,
  "spacegroup": "I4/mmm, No. 139",
  "lattice": [[-0.357, -2.473, -2.459], [-0.186, -2.455, 2.496], [-7.573, -1.658, 0.268]],
  "species": ["V", "V", "Tl", "Zn", "Zn"],
  "frac_coords": [[0.250, 0.750, 0.500], [0.750, 0.250, 0.500], [0.000, 0.000, 0.000], [0.390, 0.390, 0.220], [0.610, 0.610, 0.780]]
}

***

<B>
{
  "formula": "TlV2Zn2",
  "functional": "PBE-GGA",
  "state": "optimized geometry",
  "total_magnetization_mub_per_fu": 0.00,
  "vol_a3_per_cell": 171,
  "spacegroup": "P4/mbm, No. 127",
  "lattice": [[-2.254, 0.200, -6.957], [-6.409, -2.910, 1.993], [-1.186, 2.933, 0.468]],
  "species": ["V", "V", "V", "V", "Zn", "Zn", "Zn", "Zn", "Tl", "Tl"],
  "frac_coords": [[0.904, 0.596, 0.000], [0.404, 0.904, 0.000], [0.596, 0.096, 0.000], [0.096, 0.404, 0.000], [0.695, 0.805, 0.500], [0.305, 0.195, 0.500], [0.805, 0.305, 0.500], [0.195, 0.695, 0.500], [0.500, 0.500, 0.000], [0.000, 0.000, 0.000]]
}

***

<C>
{
  "formula": "TlV2Zn2",
  "functional": "PBE-GGA",
  "state": "optimized geometry",
  "total_magnetization_mub_per_fu": 4.18,
  "vol_a3_per_cell": 167,
  "spacegroup": "P4/mbm, No. 127",
  "lattice": [[7.047, 0.000, 0.000], [0.000, 7.047, 0.000], [0.000, 0.000, 3.371]],
  "species": ["Tl", "Tl", "V", "V", "V", "V", "Zn", "Zn", "Zn", "Zn"],
  "frac_coords": [[0.500, 0.500, 0.000], [0.000, 0.000, 0.000], [0.667, 0.833, 0.500], [0.333, 0.167, 0.500], [0.833, 0.333, 0.500], [0.167, 0.667, 0.500], [0.625, 0.125, 0.000], [0.125, 0.375, 0.000], [0.375, 0.875, 0.000], [0.875, 0.625, 0.000]]
}

***

Order of stability, best first: <B>, <C>, <A>

***

<A>
{
  "formula": "ZrTl2V",
  "functional": "PBE-GGA",
  "state": "optimized geometry",
  "total_magnetization_mub_per_fu": 2.58,
  "vol_a3_per_cell": 85,
  "spacegroup": "Fm-3m, No. 225",
  "lattice": [[2.854, 2.305, 3.313], [-2.020, 3.129, 3.250], [-0.270, -1.234, 4.779]],
  "species": ["Zr", "V", "Tl", "Tl"],
  "frac_coords": [[0.500, 0.500, 0.500], [0.000, 0.000, 0.000], [0.750, 0.750, 0.750], [0.250, 0.250, 0.250]]
}

***

<B>
{
  "formula": "ZrTl2V",
  "functional": "PBE-GGA",
  "state": "optimized geometry",
  "total_magnetization_mub_per_fu": 0.09,
  "vol_a3_per_cell": 180,
  "spacegroup": "I-42d, No. 122",
  "lattice": [[-6.950, -1.974, 2.817], [1.105, -7.295, -2.386], [-1.662, -5.307, 2.855]],
  "species": ["Tl", "Tl", "Tl", "Tl", "Zr", "Zr", "V", "V"],
  "frac_coords": [[0.875, 0.852, 0.750], [0.148, 0.625, 0.250], [0.602, 0.125, 0.250], [0.375, 0.398, 0.750], [0.000, 0.000, 0.000], [0.750, 0.250, 0.500], [0.250, 0.750, 0.500], [0.500, 0.500, 0.000]]
}

***

Order of stability, best first: <A>, <B>

***

<A>
{
  "formula": "ZrTlV3",
  "functional": "PBE-GGA",
  "state": "optimized geometry",
  "total_magnetization_mub_per_fu": 8.32,
  "vol_a3_per_cell": 122,
  "spacegroup": "Pm-3m, No. 221",
  "lattice": [[4.965, 0.000, 0.000], [0.000, 4.965, 0.000], [0.000, 0.000, 4.965]],
  "species": ["V", "V", "V", "Zr", "Tl"],
  "frac_coords": [[0.000, 0.500, 0.000], [0.500, 0.000, 0.000], [0.000, 0.000, 0.500], [0.500, 0.500, 0.500], [0.000, 0.000, 0.000]]
}

***

<B>
{
  "formula": "ZrTlV3",
  "functional": "PBE-GGA",
  "state": "optimized geometry",
  "total_magnetization_mub_per_fu": 0.00,
  "vol_a3_per_cell": 104,
  "spacegroup": "Pm-3m, No. 221",
  "lattice": [[4.705, 0.000, 0.000], [0.000, 4.705, 0.000], [0.000, 0.000, 4.705]],
  "species": ["V", "V", "V", "Zr", "Tl"],
  "frac_coords": [[0.500, 0.000, 0.000], [0.000, 0.500, 0.000], [0.000, 0.000, 0.500], [0.000, 0.000, 0.000], [0.500, 0.500, 0.500]]
}

***

Order of stability, best first: <B>, <A>

***

<A>
{
  "formula": "Tl3W",
  "functional": "PBE-GGA",
  "state": "optimized geometry",
  "total_magnetization_mub_per_fu": 0.00,
  "vol_a3_per_cell": 93,
  "spacegroup": "Cmmm, No. 65",
  "lattice": [[-5.201, -0.556, 1.887], [2.250, -4.398, 2.553], [0.686, 1.748, 2.406]],
  "species": ["W", "Tl", "Tl", "Tl"],
  "frac_coords": [[0.000, 0.000, 0.000], [0.500, 0.500, 0.000], [0.000, 0.500, 0.500], [0.500, 0.000, 0.500]]
}

***

<B>
{
  "formula": "Tl3W",
  "functional": "PBE-GGA",
  "state": "optimized geometry",
  "total_magnetization_mub_per_fu": 0.61,
  "vol_a3_per_cell": 107,
  "spacegroup": "Immm, No. 71",
  "lattice": [[-6.937, -3.558, 0.047], [-3.545, -5.528, -4.202], [5.380, 3.212, 4.640]],
  "species": ["Tl", "Tl", "Tl", "W"],
  "frac_coords": [[0.318, 0.318, 0.000], [0.682, 0.682, 0.000], [0.000, 0.500, 0.500], [0.500, 0.000, 0.500]]
}

***

<C>
{
  "formula": "Tl3W",
  "functional": "PBE-GGA",
  "state": "optimized geometry",
  "total_magnetization_mub_per_fu": 0.00,
  "vol_a3_per_cell": 97,
  "spacegroup": "P-6m2, No. 187",
  "lattice": [[-2.724, -0.859, 1.332], [1.852, -2.169, -1.339], [5.317, -1.557, 9.873]],
  "species": ["W", "Tl", "Tl", "Tl"],
  "frac_coords": [[0.667, 0.333, 0.750], [0.000, 0.000, 0.529], [0.000, 0.000, 0.971], [0.667, 0.333, 0.250]]
}

***

<D>
{
  "formula": "Tl3W",
  "functional": "PBE-GGA",
  "state": "optimized geometry",
  "total_magnetization_mub_per_fu": 0.00,
  "vol_a3_per_cell": 94,
  "spacegroup": "R-3m, No. 166",
  "lattice": [[5.970, -0.002, -0.008], [-2.710, 5.320, -0.008], [-2.710, -4.419, 2.962]],
  "species": ["Tl", "Tl", "Tl", "W"],
  "frac_coords": [[0.000, 0.000, 0.000], [0.000, 0.500, 0.500], [0.500, 0.500, 0.000], [0.500, 0.000, 0.500]]
}

***

Order of stability, best first: <C>, <B>, <A>, <D>

***

<A>
{
  "formula": "Tl3W",
  "functional": "PBE-GGA",
  "state": "optimized geometry",
  "total_magnetization_mub_per_fu": 0.00,
  "vol_a3_per_cell": 97,
  "spacegroup": "R-3m, No. 166",
  "lattice": [[11.443, -0.011, -0.006], [11.013, 3.110, -0.006], [11.013, 1.520, 2.713]],
  "species": ["Tl", "Tl", "Tl", "W"],
  "frac_coords": [[0.500, 0.500, 0.500], [0.740, 0.740, 0.740], [0.260, 0.260, 0.260], [0.000, 0.000, 0.000]]
}

***

<B>
{
  "formula": "Tl3W",
  "functional": "PBE-GGA",
  "state": "optimized geometry",
  "total_magnetization_mub_per_fu": 0.00,
  "vol_a3_per_cell": 219,
  "spacegroup": "Cmcm, No. 63",
  "lattice": [[-1.344, 7.716, 2.148], [-7.788, -2.301, -0.087], [0.217, -0.858, 3.216]],
  "species": ["Tl", "Tl", "Tl", "Tl", "Tl", "Tl", "W", "W"],
  "frac_coords": [[0.146, 0.391, 0.750], [0.609, 0.854, 0.750], [0.854, 0.609, 0.250], [0.167, 0.833, 0.750], [0.391, 0.146, 0.250], [0.833, 0.167, 0.250], [0.574, 0.426, 0.750], [0.426, 0.574, 0.250]]
}

***

Order of stability, best first: <B>, <A>

***

<A>
{
  "formula": "TlW2",
  "functional": "PBE-GGA",
  "state": "optimized geometry",
  "total_magnetization_mub_per_fu": 0.00,
  "vol_a3_per_cell": 116,
  "spacegroup": "I4/mcm, No. 140",
  "lattice": [[0.172, -1.734, 5.080], [-4.622, 1.743, -2.109], [1.253, -4.325, -2.928]],
  "species": ["W", "W", "W", "W", "Tl", "Tl"],
  "frac_coords": [[0.628, 0.872, 0.500], [0.128, 0.628, 0.755], [0.372, 0.128, 0.500], [0.872, 0.372, 0.245], [0.750, 0.750, 0.000], [0.250, 0.250, 0.000]]
}

***

<B>
{
  "formula": "TlW2",
  "functional": "PBE-GGA",
  "state": "optimized geometry",
  "total_magnetization_mub_per_fu": 0.00,
  "vol_a3_per_cell": 108,
  "spacegroup": "P6_3/mmc, No. 194",
  "lattice": [[2.365, -4.096, 0.000], [2.365, 4.096, 0.000], [0.000, 0.000, 5.575]],
  "species": ["W", "W", "W", "W", "Tl", "Tl"],
  "frac_coords": [[0.000, 0.000, 0.500], [0.333, 0.667, 0.250], [0.667, 0.333, 0.750], [0.000, 0.000, 0.000], [0.667, 0.333, 0.250], [0.333, 0.667, 0.750]]
}

***

Order of stability, best first: <B>, <A>

***

<A>
{
  "formula": "TlW2",
  "functional": "PBE-GGA",
  "state": "optimized geometry",
  "total_magnetization_mub_per_fu": 0.00,
  "vol_a3_per_cell": 118,
  "spacegroup": "Cmcm, No. 63",
  "lattice": [[2.111, -6.479, 0.000], [2.111, 6.479, 0.000], [0.000, 0.000, 4.328]],
  "species": ["W", "W", "W", "W", "Tl", "Tl"],
  "frac_coords": [[0.250, 0.750, 0.750], [0.629, 0.371, 0.750], [0.750, 0.250, 0.250], [0.371, 0.629, 0.250], [0.080, 0.920, 0.250], [0.920, 0.080, 0.750]]
}

***

<B>
{
  "formula": "TlW2",
  "functional": "PBE-GGA",
  "state": "optimized geometry",
  "total_magnetization_mub_per_fu": 0.00,
  "vol_a3_per_cell": 54,
  "spacegroup": "P-3m1, No. 164",
  "lattice": [[4.682, 0.000, 0.000], [-2.341, 4.054, 0.000], [0.000, 0.000, 2.857]],
  "species": ["Tl", "W", "W"],
  "frac_coords": [[0.000, 0.000, 0.000], [0.667, 0.333, 0.631], [0.333, 0.667, 0.369]]
}

***

Order of stability, best first: <A>, <B>